Compound: RbPmCu2Cl8
Source: Alexandria
Functional: GGA-PBE
Structure: optimized geometry

Cell lengths 6.5655, 6.5655, 14.8510 Å; angles 90.00, 90.00, 90.00 degrees
Closest atoms and distances in Å follow each position.
Space group I-4 (No. 82)
One atom of each set of equivalent atoms:
Rb1 0.0000 0.0000 0.0000  8 Cl 3.23-3.38
Pm1 0.0000 0.5000 0.2500  8 Cl 2.80-2.97
Cu1 0.0000 0.0000 0.5000  4 Cl 2.29
Cu2 0.0000 0.5000 0.7500  4 Cl 2.27
Cl1 0.1138 0.2654 0.4136  1 Cu 2.29
Cl2 0.1617 0.7762 0.8082  1 Cu 2.27

Values from the calculation:
D(E_F) in states/eV/f.u.: 10.61
Uncorrected formation energy in meV per atom: -1258
Calculated total energy in eV per atom: -3.648


Compound: Si2GeTeF
Source: Alexandria
Functional: GGA-PBE
Structure: optimized geometry

Cell lengths 4.8492, 4.8492, 5.3382 Å; angles 90.00, 90.00, 90.00 degrees
Closest atoms and distances in Å follow each position.
Space group P4/mmm (No. 123)
One atom of each set of equivalent atoms:
Si1 0.0000 0.5000 0.0000  2 Ge 2.42
Ge1 0.0000 0.0000 0.0000  4 Si 2.42, 2 Te 2.67
Te1 0.0000 0.0000 0.5000  2 Ge 2.67
F1 0.5000 0.5000 0.5000  4 Te 3.43, 8 Si 3.61

Values from the calculation:
D(E_F) in states/eV/f.u.: 2.84
Uncorrected formation energy in meV per atom: 635
Calculated total energy in eV per atom: -3.461


Compound: PaFe2Cu
Source: Alexandria
Functional: GGA-PBE
Structure: optimized geometry

Cell lengths 4.3150, 4.3150, 12.1741 Å; angles 90.00, 90.00, 120.00 degrees
Closest atoms and distances in Å follow each position.
Space group R-3m (No. 166, hexagonal axes)
One atom of each set of equivalent atoms:
Pa1 0.0000 0.0000 0.0000  2 Fe 2.19
Fe1 0.0000 0.0000 0.1795  1 Pa 2.19
Cu1 0.0000 0.0000 0.5000  6 Fe 2.50

Values from the calculation:
D(E_F) in states/eV/f.u.: 3.10
Energy above the lowest structure with this stoichiometry in kJ/mol of formula units: 0.0
Calculated total energy in eV per atom: -7.750
E_form in eV/atom: -0.1211